VSbO4 | GGA+U | relaxed

Cell lengths 5.6469, 5.6469, 5.6469 Å; angles 108.19, 108.19, 112.07 degrees
Closest atoms and distances in Å follow each position.
Element x y z (fractional)
V: 0.0074 0.0074 0.0000  6 O 2.00-2.09
V: 0.2574 0.7574 0.5000  6 O 2.00-2.09
Sb: 0.4930 0.4930 0.0000  6 O 1.99-2.04
Sb: 0.7430 0.2430 0.5000  6 O 1.99-2.04
O: 0.7027 0.0053 0.6974  1 Sb 1.99, 2 V 2.00-2.04
O: 0.2553 0.4527 0.1974  1 Sb 1.99, 2 V 2.00-2.04
O: 0.2553 0.0579 0.8026  1 Sb 1.99, 2 V 2.00-2.04
O: 0.3079 0.0053 0.3026  1 Sb 1.99, 2 V 2.00-2.04
O: 0.8024 0.4940 0.3084  2 Sb 2.03-2.04, 1 V 2.09
O: 0.7440 0.5524 0.8084  2 Sb 2.03-2.04, 1 V 2.09
O: 0.7440 0.9356 0.1916  2 Sb 2.03-2.04, 1 V 2.09
O: 0.1856 0.4940 0.6916  2 Sb 2.03-2.04, 1 V 2.09

Values from the calculation:
The value obtained for the final energy is -83.85 eV for the cell shown. The magnetic moment comes out at 2.0 μB per formula unit. As for the calculated density: 5.68 g/cm3.